Entry from Alexandria: crystalline Tl2ReTc at its relaxed geometry (PBEsol).

a = 5.1135 Å, b = 5.1135 Å, c = 5.1135 Å
α = 132.69°, β = 132.69°, γ = 69.14°
Positions (direct):
Tl 0.0000 0.0000 0.0000
Tl 0.7500 0.2500 0.5000
Re 0.5000 0.5000 0.0000
Tc 0.2500 0.7500 0.5000

Summary:
* energy relative to the elements: 1.091 eV/atom
* DOS at the Fermi energy: 4.97 states/eV/f.u.
* ΔE to the lowest computed polymorph: 37 meV per atom
* crystal system: tetragonal
* SG: No. 119

=====

Entry from Alexandria: crystalline LiNiSb2 at its relaxed geometry (PBEsol).

a = 4.7866 Å, b = 4.7866 Å, c = 4.7866 Å
α = 124.08°, β = 124.08°, γ = 83.06°
Positions (direct):
Li 0.0000 0.0000 0.0000
Ni 0.5000 0.5000 0.0000
Sb 0.2500 0.7500 0.5000
Sb 0.7500 0.2500 0.5000

Summary:
* DOS at the Fermi energy: 1.84 states/eV/f.u.
* ΔE to the lowest computed polymorph: 71 meV per atom
* crystal system: tetragonal
* SG: No. 139
* uncorrected formation energy: -9.9 kJ/mol of atoms

=====

Question: Which value of ΔE to the lowest computed polymorph does entry 2 give?
Answer: 71 meV per atom

=====

Copy entry 1 word for word.
Entry from Alexandria: crystalline Tl2ReTc at its relaxed geometry (PBEsol).

a = 5.1135 Å, b = 5.1135 Å, c = 5.1135 Å
α = 132.69°, β = 132.69°, γ = 69.14°
Positions (direct):
Tl 0.0000 0.0000 0.0000
Tl 0.7500 0.2500 0.5000
Re 0.5000 0.5000 0.0000
Tc 0.2500 0.7500 0.5000

Summary:
* energy relative to the elements: 1.091 eV/atom
* DOS at the Fermi energy: 4.97 states/eV/f.u.
* ΔE to the lowest computed polymorph: 37 meV per atom
* crystal system: tetragonal
* SG: No. 119